The following is a PBE calculation of a relaxed structure of BeCrRu3, from Alexandria via LeMat-Bulk.

The energy of formation from the pure elements is 562 meV/atom. Its energy relative to the lowest polymorph listed for this composition is 0.000 eV per atom.

It has space group Pm-3m (No. 221), with a = 4.033 Å, b = 4.033 Å, c = 4.033 Å, α = 90.00°, β = 90.00° and γ = 90.00°. The distinct sites, in fractional coordinates, are Be at (0.000, 0.000, 0.000), Cr at (0.500, 0.500, 0.500) and Ru at (0.000, 0.000, 0.500).